This record from Alexandria via LeMat-Bulk describes an optimized crystal structure of Dy8NiIr2. The functional is PBE.

Summary:
VASP energy	-5.851	eV per atom

abc: 6.023 7.438 7.438
angles: 111.35 100.53 100.53
Fractional coordinates of all 11 atoms:
Dy (0.175, 0.359, 0.359)
Dy (0.588, 0.346, 0.082)
Dy (0.988, 0.789, 0.208)
Dy (0.988, 0.208, 0.789)
Dy (0.588, 0.082, 0.346)
Dy (0.370, 0.928, 0.664)
Dy (0.370, 0.664, 0.928)
Dy (0.796, 0.644, 0.644)
Ir (0.484, 0.692, 0.321)
Ir (0.484, 0.321, 0.692)
Ni (0.170, 0.000, 0.000)